DFT (SCAN) results for a crystal of RuWO2F relaxed with PBEsol.

Properties
Its crystal system is tetragonal. As for the energy: -23.876 eV/atom. The value obtained for the uncorrected formation energy is 228 meV per atom. For the density of states at the Fermi level, the calculation gives 0.539 states/eV/atom.

Geometry as POSCAR:
```
RuWO2F
1.0
3.914 0.000 0.000
0.000 3.914 0.000
0.000 0.000 3.964
Ru W O F
1 1 2 1
Cartesian
0.000 0.000 0.000
1.957 1.957 1.982
0.000 1.957 0.000
1.957 0.000 0.000
0.000 0.000 1.982
```